{"formula": "ReRuPb2", "functional": "PBE-GGA", "state": "optimized geometry", "lattice_angstrom": [[-2.7530, 3.8511, -0.9514], [-4.7861, -0.2487, 0.5891], [-2.1162, 2.4066, 3.6118]], "species": ["Pb", "Pb", "Re", "Ru"], "fractional_positions": [[0.0000, 0.0000, 0.0000], [0.2500, 0.2500, 0.2500], [0.5000, 0.5000, 0.5000], [0.7500, 0.7500, 0.7500]], "dos_ef_per_ev_cell": 4.9, "spacegroup": "F-43m (216)", "magmom_total_mub_per_fu": 0.6, "final_energy_ev_per_atom": -6.19, "delta_e_f_mev_per_atom": 1094}